Here is Ba4Nd7Si12BN27 at its PBEsol-relaxed geometry from Alexandria via LeMat-Bulk. Energies are from SCAN.

Cell and atoms, written as extended XYZ:
```
51
Lattice="-0.8942 4.4704 2.9292 0.7812 -6.5897 10.2953 10.0497 5.1319 -4.7641" Properties=species:S:1:pos:R:3 pbc="T T T"
Ba 5.3411 4.6241 -0.4143
Ba 9.1692 3.7314 2.1167
Ba 3.4236 -0.4473 6.7401
Ba 5.0291 2.0240 3.4586
Nd 2.6412 -0.1800 1.0810
Nd 0.5699 -1.9691 3.1791
Nd 3.6893 -4.8841 8.5800
Nd -0.4471 2.2352 1.4646
Nd 7.8725 3.8310 -3.4434
Nd 10.3669 0.0230 3.1295
Nd 7.3529 -1.1944 4.0675
Si 3.4743 -1.7698 3.7616
Si 5.2721 1.0244 0.0460
Si 1.7714 1.1264 3.8341
Si 2.7616 3.0304 1.2305
Si 8.5378 5.5008 -0.7764
Si 7.8604 2.1450 -0.8741
Si 1.4368 -2.4230 9.1487
Si 2.5601 -3.5408 6.1853
Si 7.0627 -0.0454 7.2377
Si 8.2399 1.8484 4.7068
Si 5.5778 -2.7370 5.8797
Si 7.7482 0.5045 1.5952
B 0.0000 0.0000 0.0000
N 7.3316 0.9233 5.8414
N 5.9727 0.6860 8.3409
N 6.4280 -1.5903 6.8494
N 2.7534 -2.8337 10.1774
N 4.2557 -3.4992 6.6394
N 0.2746 -0.7509 1.2298
N 1.8741 -5.9100 9.5915
N 5.0349 -1.8991 4.4353
N 1.1945 -0.7288 9.0415
N 1.6498 -3.0052 7.5500
N 9.9673 2.0162 4.9779
N 9.4635 -1.3867 5.0052
N 2.3216 -2.6493 4.7519
N 2.8761 -0.1610 3.5837
N 2.4207 2.1153 5.0753
N 7.5644 3.4111 4.7052
N 8.0264 1.1016 3.1919
N 0.1859 0.5684 4.2016
N 8.6323 1.4222 0.4646
N 7.7964 6.1351 0.6188
N 8.2583 3.8256 -0.8945
N 6.0674 0.3133 1.3741
N 7.7892 6.2643 -2.1700
N 6.1809 1.9385 -1.0716
N 3.9476 1.9882 0.5937
N 3.4856 4.2977 2.1070
N 1.7828 2.0991 2.3530
```

Properties
* ρ: 5.39 g/cm³
* final energy: -18.008 eV per atom



Here is Ba4Pr7Si12BN27 at its PBEsol-relaxed geometry from Alexandria via LeMat-Bulk. Energies are from SCAN.

Cell and atoms, written as extended XYZ:
```
51
Lattice="-2.5826 -1.6707 4.4738 10.1562 2.0387 6.6244 -8.2984 8.9574 -1.4455" Properties=species:S:1:pos:R:3 pbc="T T T"
Ba -5.1937 4.4519 1.9586
Ba -3.9395 8.3779 4.1487
Ba 2.7133 3.5096 6.1713
Ba -1.1813 4.6176 4.3368
Pr 0.1768 2.6615 1.0960
Pr 3.0221 0.9532 2.1006
Pr 7.4051 4.5842 5.9868
Pr -1.2913 -0.8353 2.2369
Pr -6.1954 7.0489 -0.9441
Pr -0.4220 10.2430 3.5816
Pr 1.5868 7.4974 3.7159
Si 2.6160 3.7764 2.9205
Si -1.7915 5.0229 0.8415
Si 0.3413 1.5774 4.0804
Si -2.6457 2.1944 2.5864
Si -6.6572 7.4297 2.2257
Si -3.5939 7.3777 0.6805
Si 5.8355 1.9215 7.3806
Si 5.3749 3.2206 4.3056
Si 1.9633 7.0298 7.0529
Si -1.0116 7.8233 5.6319
Si 4.0230 6.0379 4.5772
Si -1.0551 7.5528 2.2114
B 0.0000 0.0000 0.0000
N 0.4563 7.1395 6.2239
N 1.9552 5.8204 8.2711
N 3.2680 6.6696 5.9970
N 6.4462 3.2836 8.2419
N 5.2432 4.8834 4.8505
N 1.1441 0.4178 0.8165
N 9.0684 2.9827 6.3489
N 2.7570 5.3370 3.5846
N 4.3165 1.3933 7.9810
N 5.6292 2.2425 5.7069
N 1.8015 9.6344 4.6379
N -1.3553 9.4963 6.0582
N 4.0138 2.8144 3.3681
N -0.1008 2.0413 5.6730
N 1.2120 2.8905 3.3989
N -2.2845 6.8595 6.2310
N -0.9565 7.7186 3.9307
N 1.2375 0.1057 4.0481
N -2.4975 8.2630 1.6440
N -6.4886 6.6057 3.7093
N -5.1606 7.4647 1.4089
N -0.7147 5.9309 1.8022
N -7.7928 6.5236 1.2318
N -3.2283 5.7595 0.2872
N -2.2054 3.5526 1.6540
N -3.5334 2.6936 3.9543
N -1.1664 1.4276 3.1541
```

Properties
* ρ: 5.28 g/cm³
* final energy: -17.956 eV per atom



Here is BaBSN2 at its PBEsol-relaxed geometry from Alexandria via LeMat-Bulk. Energies are from SCAN.

Cell and atoms, written as extended XYZ:
```
5
Lattice="-0.7780 1.3761 3.6755 -3.8990 0.1567 -0.8840 -0.4578 -3.8355 1.3392" Properties=species:S:1:pos:R:3 pbc="T T T"
S -0.2289 -1.9177 0.6696
B 0.0000 0.0000 0.0000
Ba -2.5674 -1.1513 2.0653
N -1.9495 0.0784 -0.4420
N -0.3890 0.6881 1.8377
```

Properties
* ρ: 5.28 g/cm³
* final energy: -14.216 eV per atom



Here is BaBSe2N at its PBEsol-relaxed geometry from Alexandria via LeMat-Bulk. Energies are from SCAN.

Cell and atoms, written as extended XYZ:
```
5
Lattice="5.1059 0.0000 0.0000 0.0000 6.0242 0.0000 0.0000 0.0000 6.0242" Properties=species:S:1:pos:R:3 pbc="T T T"
B 2.5529 3.0121 3.0121
Ba 0.0000 0.0000 0.0000
Se 0.0000 0.0000 3.0121
Se 0.0000 3.0121 0.0000
N 2.5529 0.0000 0.0000
```

Properties
* ρ: 2.87 g/cm³
* final energy: -17.598 eV per atom



Here is Ba8SrB6N12 at its PBEsol-relaxed geometry from Alexandria via LeMat-Bulk. Energies are from SCAN.

Cell and atoms, written as extended XYZ:
```
27
Lattice="7.9388 0.0000 0.0000 0.0000 7.9388 0.0000 0.0000 0.0000 7.9388" Properties=species:S:1:pos:R:3 pbc="T T T"
Ba 5.8626 5.8626 2.0762
Ba 2.0762 2.0762 5.8626
Ba 5.8626 2.0762 5.8626
Ba 2.0762 5.8626 2.0762
Ba 2.0762 5.8626 5.8626
Ba 5.8626 2.0762 2.0762
Ba 5.8626 5.8626 5.8626
Ba 2.0762 2.0762 2.0762
Sr 0.0000 0.0000 0.0000
B 3.9694 0.0000 0.0000
B 0.0000 3.9694 3.9694
B 0.0000 0.0000 3.9694
B 3.9694 3.9694 0.0000
B 0.0000 3.9694 0.0000
B 3.9694 0.0000 3.9694
N 3.9694 3.9694 1.3472
N 0.0000 0.0000 5.3267
N 0.0000 2.6121 0.0000
N 3.9694 6.5916 3.9694
N 2.6121 0.0000 0.0000
N 6.5916 3.9694 3.9694
N 0.0000 0.0000 2.6121
N 3.9694 3.9694 6.5916
N 0.0000 5.3267 0.0000
N 3.9694 1.3472 3.9694
N 5.3267 0.0000 0.0000
N 1.3472 3.9694 3.9694
```

Properties
* ρ: 4.71 g/cm³
* final energy: -19.568 eV per atom



Here is Ba3NaB24 at its PBEsol-relaxed geometry from Alexandria via LeMat-Bulk. Energies are from SCAN.

Cell and atoms, written as extended XYZ:
```
28
Lattice="4.2311 0.0000 0.0000 0.0000 4.2311 0.0000 0.0000 0.0000 16.9021" Properties=species:S:1:pos:R:3 pbc="T T T"
Na 0.0000 0.0000 0.0000
B 0.8539 2.1155 2.0703
B 0.8631 2.1155 6.3248
B 0.8631 2.1155 10.5773
B 0.8539 2.1155 14.8318
B 2.1155 2.1155 3.3333
B 2.1155 2.1155 7.5811
B 2.1155 2.1155 11.8367
B 2.1155 2.1155 16.0724
B 2.1155 0.8539 2.0703
B 2.1155 0.8631 6.3248
B 2.1155 0.8631 10.5773
B 2.1155 0.8539 14.8318
B 2.1155 2.1155 0.8297
B 2.1155 2.1155 5.0654
B 2.1155 2.1155 9.3210
B 2.1155 2.1155 13.5688
B 2.1155 3.3771 2.0703
B 2.1155 3.3680 6.3248
B 2.1155 3.3680 10.5773
B 2.1155 3.3771 14.8318
B 3.3771 2.1155 2.0703
B 3.3680 2.1155 6.3248
B 3.3680 2.1155 10.5773
B 3.3771 2.1155 14.8318
Ba 0.0000 0.0000 4.1505
Ba 0.0000 0.0000 8.4510
Ba 0.0000 0.0000 12.7515
```

Properties
* ρ: 3.81 g/cm³
* formation energy from the elements: -36.7 kJ/mol of atoms



Here is BaNaB9O15 at its PBEsol-relaxed geometry from Alexandria via LeMat-Bulk. Energies are from SCAN.

Cell and atoms, written as extended XYZ:
```
52
Lattice="8.6949 0.0465 0.0402 1.5295 8.5595 0.0402 1.5295 1.2874 8.4622" Properties=species:S:1:pos:R:3 pbc="T T T"
Ba 5.9086 4.9733 4.2942
Ba 0.0316 0.0266 0.0229
Na 3.2881 2.7676 2.3897
Na 9.1651 7.7143 6.6610
B 6.9103 2.6539 1.4111
B 3.7942 2.3225 6.0825
B 2.9359 6.5047 2.4199
B 4.0924 6.6830 6.6510
B 8.2261 4.4367 7.4534
B 5.7753 8.4449 6.1834
B 9.3066 6.7368 3.3029
B 3.8786 4.3612 7.4938
B 4.9591 7.8623 1.9523
B 8.5932 2.4482 3.2223
B 7.1149 4.9442 0.5567
B 6.0857 1.4497 6.0199
B 2.4669 6.7936 4.8102
B 2.7675 4.8842 0.5791
B 5.2848 0.8489 1.7888
B 1.7383 2.5076 4.7476
B 7.2833 7.0015 1.8916
B 8.1416 2.7433 5.6422
O 7.9759 6.5308 3.1104
O 3.6284 7.6419 1.7766
O 3.4485 3.0852 7.3013
O 8.1489 2.0887 1.9880
O 7.7557 2.8608 4.2180
O 5.3310 7.1714 6.0077
O 4.1422 5.2157 6.4626
O 10.1935 6.8508 2.2717
O 4.9378 9.4901 6.4465
O 8.4897 3.5411 8.4491
O 7.4277 1.5911 6.2086
O 7.5482 6.2310 0.6691
O 2.8352 7.1696 6.0670
O 3.2007 5.1830 1.8359
O 3.0802 2.7150 4.8600
O 5.6531 2.1471 1.9775
O 6.9121 4.1087 1.6129
O 5.2279 2.4862 5.8093
O 3.3418 6.4362 3.8297
O 4.0942 7.0947 8.0608
O 7.6893 8.3863 1.6184
O 9.5754 2.4969 5.8440
O 8.4100 5.7941 7.7083
O 7.1442 8.6898 6.0964
O 9.7814 6.8413 4.6086
O 2.5330 3.5239 0.3373
O 3.9044 0.6099 1.8252
O 1.2672 2.3513 3.4371
O 5.8460 6.8588 2.2154
O 7.7960 4.0603 6.2191
```

Properties
* ρ: 2.63 g/cm³
* final energy: -10.578 eV per atom



Here is BaNaB5O9 at its PBEsol-relaxed geometry from Alexandria via LeMat-Bulk. Energies are from SCAN.

Cell and atoms, written as extended XYZ:
```
64
Lattice="6.6032 0.0005 0.0000 -2.2069 8.1149 0.0000 0.0000 0.0000 14.0532" Properties=species:S:1:pos:R:3 pbc="T T T"
Ba 2.6423 4.5087 10.9879
Ba 0.6505 7.6642 3.9612
Ba 1.7540 3.6067 3.0654
Ba 3.7458 0.4512 10.0920
Na -1.6204 6.9489 12.9174
Na 4.9132 5.2240 5.8908
Na 6.0167 1.1666 1.1358
Na -0.5170 2.8914 8.1624
B -0.8673 4.9347 10.5105
B 4.1602 7.2381 3.4838
B 5.2636 3.1807 3.5428
B 0.2361 0.8773 10.5694
B 0.3705 6.1064 0.7798
B 2.9223 6.0665 7.8065
B 4.0258 2.0090 13.2734
B 1.4739 2.0490 6.2468
B 4.9229 5.2879 2.1163
B -1.6300 6.8850 9.1429
B -0.5266 2.8275 11.9370
B 6.0263 1.2304 4.9103
B 1.6339 1.7277 12.4659
B 3.8658 2.3302 5.4393
B 2.7624 6.3877 1.5874
B 0.5305 5.7852 8.6140
B 2.0954 6.8811 13.2711
B 1.1974 5.2917 6.2444
B 2.3009 1.2343 0.7822
B 3.1988 2.8237 7.8088
O 3.6030 2.9842 9.0707
O 1.8967 1.0737 2.0440
O 0.7933 5.1312 4.9826
O 2.4996 7.0417 12.0092
O 5.4630 4.1180 11.5751
O -2.1702 8.0548 4.5484
O -1.0667 3.9974 2.4782
O 6.5664 0.0606 9.5048
O 4.8447 5.9668 10.3234
O -1.5518 6.2061 3.2968
O -0.4484 2.1486 3.7299
O 5.9481 1.9093 10.7565
O 0.8779 2.9421 12.2764
O 4.6218 1.1159 5.2498
O 3.5184 5.1733 1.7768
O -0.2256 6.9995 8.8034
O 0.7631 6.4863 13.5533
O 2.5297 5.6866 6.5266
O 3.6332 1.6291 0.5000
O 1.8666 2.4288 7.5266
O 2.9776 7.0153 0.2836
O 0.3153 5.1576 7.3102
O 1.4187 1.1001 13.7697
O 4.0810 2.9578 6.7431
O 1.3184 0.7014 11.4085
O 4.1813 3.3565 4.3819
O 3.0779 7.4140 2.6448
O 0.2149 4.7589 9.6714
O -0.9404 5.8383 0.9572
O 4.2332 6.3346 7.9838
O 5.3367 2.2771 13.0961
O 0.1631 1.7808 6.0695
O 1.3112 6.0420 1.7903
O 1.9816 6.1309 8.8169
O 3.0851 2.0734 12.2630
O 2.4147 1.9845 5.2364
```

Properties
* ρ: 3.16 g/cm³
* final energy: -11.316 eV per atom



Here is BaNaBO3 at its PBEsol-relaxed geometry from Alexandria via LeMat-Bulk. Energies are from SCAN.

Cell and atoms, written as extended XYZ:
```
12
Lattice="-5.1490 1.6398 1.1896 -2.5106 -1.9239 4.5400 1.4131 4.6231 3.8046" Properties=species:S:1:pos:R:3 pbc="T T T"
Ba -0.2050 3.4598 3.8416
Ba -6.0414 0.8791 5.6927
Na -3.1232 2.1695 4.7671
Na -3.8298 -0.1421 2.8648
B -0.9301 1.1014 1.9040
B -5.3164 3.2376 7.6303
O -1.1782 2.5328 6.2465
O -3.5659 -0.2231 5.1955
O -5.0683 1.8061 3.2877
O -2.6806 4.5621 4.3388
O -1.8194 1.4092 2.9317
O -4.4271 2.9298 6.6026
```

Properties
* ρ: 4.51 g/cm³
* final energy: -14.397 eV per atom



Here is BaNa4Ti2Si10B2O30 at its PBEsol-relaxed geometry from Alexandria via LeMat-Bulk. Energies are from SCAN.

Cell and atoms, written as extended XYZ:
```
49
Lattice="-1.6581 3.5432 -6.0546 6.2265 -5.7976 -4.7915 -9.2523 -2.8704 1.2399" Properties=species:S:1:pos:R:3 pbc="T T T"
Ba 0.0000 0.0000 0.0000
Na -5.7842 -1.8053 -3.5089
Na 1.1003 -3.3194 -6.0973
Na -2.9620 -4.2998 -5.5799
Na -1.7219 -0.8249 -4.0263
Ti 4.0657 -3.7778 -7.3268
Ti -8.7496 -1.3470 -2.2794
Si -6.0351 -3.4005 -6.7230
Si -1.3295 -4.3573 -8.6204
Si 1.3512 -1.7242 -2.8831
Si -3.3544 -0.7675 -0.9858
Si -5.2673 -5.2481 -3.1042
Si -0.1133 -6.0966 -5.0630
Si 0.5834 0.1234 -6.5019
Si -4.5706 0.9719 -4.5432
Si -1.6042 -1.7977 -7.1409
Si -3.0797 -3.3270 -2.4653
B -4.1737 -1.3800 -6.0468
B -0.5102 -3.7447 -3.5593
O 1.6841 -0.6837 -7.4058
O -6.1964 0.7350 -4.3819
O -6.3680 -4.4411 -2.2003
O 1.5125 -5.8598 -5.2243
O -4.5111 -0.5942 -7.1905
O -0.1728 -4.5305 -2.4157
O -5.2568 -2.3435 -5.7588
O -0.8756 -3.2336 -7.4999
O 0.5729 -2.7812 -3.8474
O -3.8083 -1.8911 -2.1062
O -4.5033 -6.4246 -2.2382
O -0.4274 -7.1479 -3.8234
O -0.1805 1.2998 -7.3680
O -4.2565 2.0232 -5.7828
O -3.9674 -0.5141 -4.8580
O -0.5526 -1.0208 -6.1393
O -0.7165 -4.6107 -4.7482
O -4.1313 -4.1039 -3.4669
O -2.9248 -2.1420 -6.2704
O -1.7591 -2.9827 -3.3358
O -3.3715 -6.5643 -5.4724
O -1.3124 1.4396 -4.1337
O -5.2513 -4.8115 -6.8502
O -2.4319 -5.3456 -7.9927
O 0.5674 -0.3132 -2.7560
O -2.2520 0.2209 -1.6134
O 3.3411 -2.9638 -5.6790
O -6.9477 -0.9063 -1.6280
O -8.0250 -2.1609 -3.9272
O 2.2638 -4.2184 -7.9782
```

Properties
* ρ: 3.08 g/cm³
* final energy: -10.958 eV per atom



Here is Ba2NbB at its PBEsol-relaxed geometry from Alexandria via LeMat-Bulk. Energies are from SCAN.

Cell and atoms, written as extended XYZ:
```
8
Lattice="-0.9993 3.5458 -2.2970 -8.2038 0.1896 -0.2409 -0.5961 6.0581 5.5082" Properties=species:S:1:pos:R:3 pbc="T T T"
Nb 0.0000 0.0000 0.0000
Nb -5.1494 5.7832 0.9109
B -0.4996 1.7729 -1.1485
B -4.6498 4.0103 2.0594
Ba -2.2234 5.6957 2.5799
Ba -7.3259 3.2113 0.9646
Ba -3.2080 2.4031 -0.0231
Ba -6.8410 8.2768 2.4191
```

Properties
* ρ: 4.62 g/cm³
* formation energy from the elements: 69.7 kJ/mol of atoms



no.,volume (Å³ per atom)
1,13.8
2,13.9
3,13.1
4,37.1
5,18.5
6,10.8
7,12.1
8,11.8
9,13.4
10,12.2
11,34.0